No. 1
The following is a DFT calculation (GGA-PBE) of a geometry-optimized TeAs3Au structure.

**E above lowest polymorph**: 0 meV/atom
**Raw formation energy**: 17.92 kcal/mol of atoms
**Symmetry**: No. 221

a b c (Å): 5.056 5.056 5.056
angles (deg): 90.00 90.00 90.00
Fractional positions:
1 As 0.000 0.500 0.000
2 As 0.000 0.000 0.500
3 As 0.500 0.000 0.000
4 Te 0.500 0.500 0.500
5 Au 0.000 0.000 0.000

No. 2
The following is a DFT calculation (GGA-PBE) of a geometry-optimized SiP structure.

**Raw formation energy**: 0.73 kcal/mol of atoms
**Symmetry**: No. 194

a b c (Å): 4.130 4.130 4.874
angles (deg): 90.00 90.00 120.00
Fractional positions:
1 Si 0.333 0.667 0.750
2 Si 0.667 0.333 0.250
3 P 0.333 0.667 0.250
4 P 0.667 0.333 0.750

No. 3
The following is a DFT calculation (GGA-PBE) of a geometry-optimized AlHgPtBr2 structure.

**Raw formation energy**: 11.75 kcal/mol of atoms
**Symmetry**: No. 123

a b c (Å): 4.971 5.525 4.971
angles (deg): 90.00 90.00 90.00
Fractional positions:
1 Br 0.000 0.000 0.500
2 Br 0.500 0.000 0.000
3 Hg 0.000 0.500 0.000
4 Pt 0.500 0.500 0.500
5 Al 0.000 0.000 0.000

No. 4
The following is a DFT calculation (GGA-PBE) of a geometry-optimized AcPr2Tl4 structure.

**DFT formation energy**: -0.197 eV per atom
**E above lowest polymorph**: 3 meV/atom
**Symmetry**: No. 166

a b c (Å): 4.987 4.987 11.398
angles (deg): 77.36 77.36 60.00
Fractional positions:
1 Ac 0.000 0.000 0.000
2 Pr 0.130 0.130 0.610
3 Pr 0.870 0.870 0.390
4 Tl 0.389 0.389 0.834
5 Tl 0.243 0.243 0.270
6 Tl 0.757 0.757 0.730
7 Tl 0.611 0.611 0.166

No. 5
The following is a DFT calculation (GGA-PBE) of a geometry-optimized Nb2Ni5 structure.

**DFT formation energy**: -0.220 eV per atom
**Symmetry**: No. 72

a b c (Å): 5.078 6.451 6.885
angles (deg): 117.94 111.64 90.00
Fractional positions:
1 Nb 0.398 0.714 0.796
2 Nb 0.602 0.286 0.204
3 Nb 0.898 0.082 0.796
4 Nb 0.102 0.918 0.204
5 Ni 0.129 0.351 0.258
6 Ni 0.871 0.649 0.742
7 Ni 0.629 0.908 0.258
8 Ni 0.371 0.092 0.742
9 Ni 0.472 0.722 0.444
10 Ni 0.028 0.278 0.556
11 Ni 0.528 0.278 0.556
12 Ni 0.972 0.722 0.444
13 Ni 0.750 0.500 0.000
14 Ni 0.250 0.500 0.000

No. 6
The following is a DFT calculation (GGA-PBE) of a geometry-optimized TlAu3 structure.

**DFT formation energy**: -0.001 eV per atom
**Symmetry**: No. 12

a b c (Å): 5.683 5.683 9.719
angles (deg): 94.27 103.27 118.69
Fractional positions:
1 Tl 0.255 0.146 0.401
2 Tl 0.745 0.854 0.599
3 Tl 0.000 0.000 0.000
4 Au 0.646 0.092 0.241
5 Au 0.149 0.595 0.241
6 Au 0.666 0.616 0.282
7 Au 0.000 0.500 0.500
8 Au 0.351 0.648 0.999
9 Au 0.649 0.352 0.001
10 Au 0.851 0.405 0.759
11 Au 0.354 0.908 0.759
12 Au 0.334 0.384 0.718

No. 7
The following is a DFT calculation (GGA-PBE) of a geometry-optimized InSb2IBr structure.

**E above lowest polymorph**: 0 meV/atom
**Raw formation energy**: 11.06 kcal/mol of atoms
**Symmetry**: No. 123

a b c (Å): 5.757 5.757 5.802
angles (deg): 90.00 90.00 90.00
Fractional positions:
1 I 0.000 0.000 0.500
2 Sb 0.000 0.500 0.000
3 Sb 0.500 0.000 0.000
4 Br 0.500 0.500 0.500
5 In 0.000 0.000 0.000

No. 8
The following is a DFT calculation (GGA-PBE) of a geometry-optimized MgScSb2 structure.

**Raw formation energy**: -4.50 kcal/mol of atoms
**Symmetry**: No. 99

a b c (Å): 3.210 3.210 10.100
angles (deg): 90.00 90.00 89.96
Fractional positions:
1 Mg 0.500 0.500 0.742
2 Sb 0.000 0.000 0.957
3 Sb 0.500 0.500 0.296
4 Sc 0.000 0.000 0.505

No. 9
The following is a DFT calculation (GGA-PBE) of a geometry-optimized Mg2Zn2Cd structure.

**DFT formation energy**: 0.114 eV per atom
**E above lowest polymorph**: 199 meV/atom
**Symmetry**: No. 139

a b c (Å): 4.137 4.137 6.864
angles (deg): 72.46 72.46 90.00
Fractional positions:
1 Zn 0.402 0.402 0.196
2 Zn 0.598 0.598 0.804
3 Mg 0.750 0.250 0.500
4 Mg 0.250 0.750 0.500
5 Cd 0.000 0.000 0.000

No. 10
The following is a DFT calculation (GGA-PBE) of a geometry-optimized PmMgAgPd structure.

**DFT formation energy**: -0.512 eV per atom
**Symmetry**: No. 8

a b c (Å): 4.699 5.310 4.707
angles (deg): 116.17 119.94 90.00
Fractional positions:
1 Pm 0.252 0.755 0.503
2 Mg 0.742 0.226 0.484
3 Ag 0.473 0.419 0.946
4 Pd 0.034 0.100 0.067

No. 11
The following is a DFT calculation (GGA-PBE) of a geometry-optimized Er5Os2Pb structure.

**DFT formation energy**: -0.379 eV per atom
**Symmetry**: No. 140

a b c (Å): 7.639 7.639 8.803
angles (deg): 115.71 115.71 90.00
Fractional positions:
1 Er 0.531 0.709 0.740
2 Er 0.791 0.969 0.260
3 Er 0.000 0.000 0.000
4 Er 0.500 0.500 0.000
5 Er 0.209 0.031 0.740
6 Er 0.709 0.209 0.740
7 Er 0.031 0.531 0.740
8 Er 0.291 0.791 0.260
9 Er 0.969 0.469 0.260
10 Er 0.469 0.291 0.260
11 Os 0.137 0.363 0.000
12 Os 0.637 0.137 0.000
13 Os 0.363 0.863 0.000
14 Os 0.863 0.637 0.000
15 Pb 0.750 0.750 0.500
16 Pb 0.250 0.250 0.500

No. 12
The following is a DFT calculation (GGA-PBE) of a geometry-optimized ThNpPa2C4 structure.

**DFT formation energy**: -0.226 eV per atom
**Symmetry**: No. 10

a b c (Å): 3.620 6.296 6.284
angles (deg): 70.47 90.00 90.00
Fractional positions:
1 Th 0.000 0.500 0.500
2 Np 0.500 0.500 0.000
3 Pa 0.000 0.000 0.000
4 Pa 0.500 0.000 0.500
5 C 0.000 0.762 0.754
6 C 0.000 0.238 0.246
7 C 0.500 0.767 0.231
8 C 0.500 0.233 0.769